Entry 1:
Below is a geometry-optimized Li2YSn2 structure, with properties calculated at the PBE level.

Results
Mass density: 4.9 g/cm³
M_tot: 0.00 μB per formula unit
Distance to the lowest polymorph of the same formula: 0 meV per atom

Lattice parameters (Å, degrees): 4.5795 4.5670 6.8746 109.21 90.00 120.09
Element x y z (fractional)
Li (0.3127, 0.1253, 0.4381)
Li (0.6873, 0.8747, 0.5619)
Y (0.5000, 0.5000, 0.0000)
Sn (0.0764, 0.6529, 0.7281)
Sn (0.9236, 0.3471, 0.2719)

=====

Entry 2:
Below is a geometry-optimized Li2YSn4 structure, with properties calculated at the PBE level.

Results
Mass density: 5.4 g/cm³
M_tot: 0.00 μB per formula unit
Raw total energy: -4.0813 eV per atom

Lattice parameters (Å, degrees): 6.1418 6.1418 6.1418 109.48 109.47 109.47
Element x y z (fractional)
Li (0.5000, 0.5000, 0.0000)
Li (0.5000, 0.0000, 0.5000)
Y (0.0000, 0.0000, 0.0000)
Sn (0.5000, 0.0000, 0.0000)
Sn (0.5000, 0.5000, 0.5000)
Sn (0.0000, 0.0000, 0.5000)
Sn (0.0000, 0.5000, 0.0000)

=====

Entry 3:
Below is a geometry-optimized Li3YSn6 structure, with properties calculated at the PBE level.

Results
Mass density: 5.8 g/cm³
M_tot: 0.00 μB per formula unit
Raw total energy: -3.9573 eV per atom

Lattice parameters (Å, degrees): 4.4818 10.1062 10.4036 92.89 90.00 90.00
Element x y z (fractional)
Li (0.2500, 0.5610, 0.4052)
Li (0.7500, 0.4390, 0.5948)
Li (0.2500, 0.3453, 0.8035)
Li (0.7500, 0.6547, 0.1965)
Li (0.2500, 0.7442, 0.0008)
Li (0.7500, 0.2558, 0.9992)
Y (0.2500, 0.9274, 0.6194)
Y (0.7500, 0.0726, 0.3806)
Sn (0.2500, 0.4696, 0.1048)
Sn (0.7500, 0.5304, 0.8952)
Sn (0.2500, 0.1777, 0.1852)
Sn (0.7500, 0.8223, 0.8148)
Sn (0.2500, 0.6171, 0.6983)
Sn (0.7500, 0.3829, 0.3017)
Sn (0.2500, 0.2616, 0.5202)
Sn (0.7500, 0.7384, 0.4798)
Sn (0.2500, 0.8371, 0.2983)
Sn (0.7500, 0.1629, 0.7017)
Sn (0.2500, 0.0545, 0.9051)
Sn (0.7500, 0.9455, 0.0949)

=====

Entry 4:
Below is a geometry-optimized Li2YZn2Sn2 structure, with properties calculated at the PBE level.

Results
Mass density: 5.5 g/cm³
M_tot: 0.00 μB per formula unit
Raw total energy: -3.4022 eV per atom

Lattice parameters (Å, degrees): 4.4643 4.4643 8.5695 74.90 74.90 60.00
Element x y z (fractional)
Li (0.1416, 0.1416, 0.5752)
Li (0.8584, 0.8584, 0.4248)
Y (0.0000, 0.0000, 0.0000)
Zn (0.5550, 0.5550, 0.3351)
Zn (0.4450, 0.4450, 0.6649)
Sn (0.7407, 0.7407, 0.7780)
Sn (0.2593, 0.2593, 0.2220)

=====

Entry 5:
Below is a geometry-optimized Li3Zn2Sn4 structure, with properties calculated at the PBE level.

Results
Mass density: 5.2 g/cm³
M_tot: 0.00 μB per formula unit
Raw total energy: -2.9522 eV per atom

Lattice parameters (Å, degrees): 4.5398 4.5398 22.3256 90.00 90.00 120.00
Element x y z (fractional)
Li (0.3333, 0.6667, 0.2500)
Li (0.6667, 0.3333, 0.7500)
Li (0.3333, 0.6667, 0.3932)
Li (0.6667, 0.3333, 0.6068)
Li (0.6667, 0.3333, 0.8932)
Li (0.3333, 0.6667, 0.1068)
Zn (0.3333, 0.6667, 0.8467)
Zn (0.6667, 0.3333, 0.1533)
Zn (0.6667, 0.3333, 0.3467)
Zn (0.3333, 0.6667, 0.6533)
Sn (0.3333, 0.6667, 0.9705)
Sn (0.6667, 0.3333, 0.0295)
Sn (0.6667, 0.3333, 0.4705)
Sn (0.3333, 0.6667, 0.5295)
Sn (0.0000, 0.0000, 0.3175)
Sn (0.0000, 0.0000, 0.6825)
Sn (0.0000, 0.0000, 0.8175)
Sn (0.0000, 0.0000, 0.1825)

=====

Entry 6:
Below is a geometry-optimized Li2ZnSn2 structure, with properties calculated at the PBE level.

Results
Mass density: 4.7 g/cm³
M_tot: 0.00 μB per formula unit
Raw total energy: -2.7952 eV per atom

Lattice parameters (Å, degrees): 7.1029 7.1029 4.4079 90.00 90.00 90.00
Element x y z (fractional)
Zn (0.0000, 0.0000, 0.0000)
Zn (0.5000, 0.5000, 0.0000)
Sn (0.3533, 0.8533, 0.0000)
Sn (0.8533, 0.6467, 0.0000)
Sn (0.6467, 0.1467, 0.0000)
Sn (0.1467, 0.3533, 0.0000)
Li (0.1547, 0.6547, 0.5000)
Li (0.6547, 0.8453, 0.5000)
Li (0.8453, 0.3453, 0.5000)
Li (0.3453, 0.1547, 0.5000)

=====

Entry 7:
Below is a geometry-optimized Li3ZnSn3 structure, with properties calculated at the PBE level.

Results
Mass density: 4.5 g/cm³
M_tot: 0.00 μB per formula unit
Distance to the lowest polymorph of the same formula: 47 meV per atom

Lattice parameters (Å, degrees): 7.2333 7.2333 6.8748 94.07 94.07 114.52
Element x y z (fractional)
Li (0.5856, 0.5856, 0.3470)
Li (0.1093, 0.8907, 0.5000)
Li (0.8907, 0.1093, 0.5000)
Li (0.2239, 0.7761, 0.0000)
Li (0.7761, 0.2239, 0.0000)
Li (0.4144, 0.4144, 0.6530)
Zn (0.7894, 0.7894, 0.7339)
Zn (0.2106, 0.2106, 0.2661)
Sn (0.8642, 0.8642, 0.1370)
Sn (0.8621, 0.4568, 0.6569)
Sn (0.4568, 0.8621, 0.6569)
Sn (0.1379, 0.5432, 0.3431)
Sn (0.5432, 0.1379, 0.3431)
Sn (0.1358, 0.1358, 0.8630)

=====

Entry 8:
Below is a geometry-optimized LiZn2Sn structure, with properties calculated at the PBE level.

Results
Mass density: 6.0 g/cm³
M_tot: 0.00 μB per formula unit
Raw total energy: -2.2361 eV per atom

Lattice parameters (Å, degrees): 4.1738 4.1190 4.1190 90.00 90.00 90.00
Element x y z (fractional)
Zn (0.0000, 0.0000, 0.5000)
Zn (0.0000, 0.5000, 0.0000)
Sn (0.5000, 0.0000, 0.0000)
Li (0.5000, 0.5000, 0.5000)

=====

Entry 9:
Below is a geometry-optimized Li6Zn2Sn3 structure, with properties calculated at the PBE level.

Results
Mass density: 3.7 g/cm³
M_tot: 0.00 μB per formula unit
Raw total energy: -2.4286 eV per atom

Lattice parameters (Å, degrees): 4.8718 4.8718 10.4574 103.47 103.47 90.00
Element x y z (fractional)
Li (0.0868, 0.5868, 0.1736)
Li (0.5868, 0.0868, 0.1736)
Li (0.9132, 0.4132, 0.8264)
Li (0.4132, 0.9132, 0.8264)
Li (0.6939, 0.6939, 0.3878)
Li (0.3061, 0.3061, 0.6122)
Zn (0.4384, 0.4384, 0.8769)
Zn (0.5616, 0.5616, 0.1231)
Sn (0.0000, 0.0000, 0.0000)
Sn (0.8392, 0.8392, 0.6785)
Sn (0.1608, 0.1608, 0.3215)

=====

Entry 10:
Below is a geometry-optimized Li3ZnSn structure, with properties calculated at the PBE level.

Results
Mass density: 3.8 g/cm³
M_tot: 0.00 μB per formula unit
Distance to the lowest polymorph of the same formula: 0 meV per atom

Lattice parameters (Å, degrees): 4.7976 7.3719 6.8672 79.82 109.90 128.91
Element x y z (fractional)
Li (0.9509, 0.0623, 0.7740)
Li (0.1121, 0.0007, 0.2259)
Li (0.4336, 0.5535, 0.7691)
Li (0.9717, 0.2816, 0.3767)
Li (0.6292, 0.5093, 0.2310)
Li (0.0916, 0.7817, 0.6233)
Zn (0.5321, 0.0320, 0.0001)
Zn (0.0320, 0.5320, 0.0001)
Sn (0.4651, 0.7818, 0.3638)
Sn (0.5983, 0.2816, 0.6362)

=====

Entry 11:
Below is a geometry-optimized LiZn2Sn structure, with properties calculated at the PBE level.

Results
Mass density: 5.3 g/cm³
M_tot: 0.00 μB per formula unit
Raw total energy: -2.0395 eV per atom

Lattice parameters (Å, degrees): 7.6616 7.6616 6.0671 50.85 50.85 90.00
Element x y z (fractional)
Zn (0.6186, 0.1250, 0.2500)
Zn (0.1314, 0.6250, 0.2500)
Zn (0.3750, 0.3814, 0.7500)
Zn (0.8750, 0.8686, 0.7500)
Sn (0.0000, 0.0000, 0.0000)
Sn (0.7500, 0.2500, 0.5000)
Li (0.5000, 0.5000, 0.0000)
Li (0.2500, 0.7500, 0.5000)

=====

Entry 12:
Below is a geometry-optimized LiZn4Sn structure, with properties calculated at the PBE level.

Results
Mass density: 6.0 g/cm³
M_tot: 0.00 μB per formula unit
Raw total energy: -1.8838 eV per atom

Lattice parameters (Å, degrees): 5.3177 5.3177 5.3177 60.00 60.00 60.00
Element x y z (fractional)
Zn (0.6264, 0.6264, 0.1209)
Zn (0.6264, 0.1209, 0.6264)
Zn (0.6264, 0.6264, 0.6264)
Zn (0.1209, 0.6264, 0.6264)
Sn (0.2500, 0.2500, 0.2500)
Li (0.0000, 0.0000, 0.0000)

=====

Entry 13:
Below is a geometry-optimized Li4ZnSn structure, with properties calculated at the PBE level.

Results
Mass density: 3.5 g/cm³
M_tot: 0.00 μB per formula unit
Distance to the lowest polymorph of the same formula: 0 meV per atom

Lattice parameters (Å, degrees): 4.6159 5.4948 8.3633 70.82 90.00 90.00
Element x y z (fractional)
Li (0.2500, 0.7878, 0.4163)
Li (0.2500, 0.9575, 0.0852)
Li (0.7500, 0.7041, 0.5837)
Li (0.7500, 0.5428, 0.9148)
Li (0.7500, 0.2122, 0.5837)
Li (0.2500, 0.2959, 0.4163)
Li (0.7500, 0.0425, 0.9148)
Li (0.2500, 0.4572, 0.0852)
Zn (0.7500, 0.1157, 0.2685)
Zn (0.2500, 0.8843, 0.7315)
Sn (0.7500, 0.6286, 0.2428)
Sn (0.2500, 0.3714, 0.7572)

=====

Entry 14:
Below is a geometry-optimized Li4ZnSn structure, with properties calculated at the PBE level.

Results
Mass density: 3.4 g/cm³
M_tot: 0.00 μB per formula unit
Distance to the lowest polymorph of the same formula: 8 meV per atom

Lattice parameters (Å, degrees): 4.5012 6.6178 7.2317 90.00 108.13 90.00
Element x y z (fractional)
Li (0.9879, 0.2135, 0.9758)
Li (0.0121, 0.7135, 0.0242)
Li (0.4801, 0.9471, 0.9601)
Li (0.5199, 0.4471, 0.0399)
Li (0.8099, 0.4480, 0.6198)
Li (0.1901, 0.9480, 0.3802)
Li (0.6639, 0.1615, 0.3277)
Li (0.3361, 0.6615, 0.6723)
Zn (0.6517, 0.7288, 0.3035)
Zn (0.3483, 0.2288, 0.6965)
Sn (0.8371, 0.9345, 0.6741)
Sn (0.1629, 0.4345, 0.3259)

=====

Entry 15:
Below is a geometry-optimized Li5ZnSn4 structure, with properties calculated at the PBE level.

Results
Mass density: 4.9 g/cm³
M_tot: 0.00 μB per formula unit
Raw total energy: -2.9614 eV per atom

Lattice parameters (Å, degrees): 3.3017 3.3017 17.7456 90.00 90.00 90.00
Element x y z (fractional)
Li (0.5000, 0.5000, 0.0826)
Li (0.5000, 0.5000, 0.2867)
Li (0.5000, 0.5000, 0.5000)
Li (0.5000, 0.5000, 0.7133)
Li (0.5000, 0.5000, 0.9174)
Zn (0.0000, 0.0000, 0.0000)
Sn (0.0000, 0.0000, 0.1810)
Sn (0.0000, 0.0000, 0.3958)
Sn (0.0000, 0.0000, 0.6042)
Sn (0.0000, 0.0000, 0.8190)

=====

Entry 16:
Below is a geometry-optimized Li8Zn2Sn structure, with properties calculated at the PBE level.

Results
Mass density: 2.5 g/cm³
M_tot: 0.00 μB per formula unit
Raw total energy: -2.1208 eV per atom

Lattice parameters (Å, degrees): 4.7254 7.6073 7.1434 57.83 79.83 70.63
Element x y z (fractional)
Li (0.9047, 0.0758, 0.2274)
Li (0.9047, 0.3032, 0.7726)
Li (0.3275, 0.3819, 0.0000)
Li (0.5000, 0.7720, 0.4560)
Li (0.5000, 0.2280, 0.5440)
Li (0.6725, 0.6181, 0.0000)
Li (0.0953, 0.6968, 0.2274)
Li (0.0953, 0.9242, 0.7726)
Zn (0.0000, 0.3187, 0.3626)
Zn (0.0000, 0.6813, 0.6374)
Sn (0.5000, 0.0000, 0.0000)

=====

Entry 17:
Below is a geometry-optimized Li5ZnSn6 structure, with properties calculated at the PBE level.

Results
Mass density: 5.4 g/cm³
M_tot: 0.00 μB per formula unit
Raw total energy: -3.1504 eV per atom

Lattice parameters (Å, degrees): 5.0966 6.5366 7.8407 90.00 74.75 90.00
Element x y z (fractional)
Zn (0.0000, 0.0000, 0.0000)
Sn (0.7532, 0.7518, 0.3396)
Sn (0.7532, 0.2482, 0.3396)
Sn (0.5000, 0.2441, 0.0000)
Sn (0.5000, 0.7559, 0.0000)
Sn (0.2468, 0.7518, 0.6604)
Sn (0.2468, 0.2482, 0.6604)
Li (0.7495, 0.5000, 0.6734)
Li (0.2412, 0.0000, 0.3291)
Li (0.0000, 0.5000, 0.0000)
Li (0.7588, 0.0000, 0.6709)
Li (0.2505, 0.5000, 0.3266)

=====

Entry 18:
Below is a geometry-optimized Li5Zn2Sn5 structure, with properties calculated at the PBE level.

Results
Mass density: 4.7 g/cm³
M_tot: 0.00 μB per formula unit
Raw total energy: -2.8580 eV per atom

Lattice parameters (Å, degrees): 4.7752 5.2668 12.1816 99.37 90.00 116.96
Element x y z (fractional)
Li (0.5000, 0.0000, 0.5000)
Li (0.6707, 0.3414, 0.0253)
Li (0.7596, 0.5191, 0.3730)
Li (0.2404, 0.4809, 0.6270)
Li (0.3293, 0.6586, 0.9747)
Zn (0.0951, 0.1902, 0.8019)
Zn (0.9049, 0.8098, 0.1981)
Sn (0.0889, 0.1778, 0.3969)
Sn (0.7574, 0.5148, 0.7955)
Sn (0.2426, 0.4852, 0.2045)
Sn (0.9111, 0.8222, 0.6031)
Sn (0.0000, 0.0000, 0.0000)

=====

Entry 19:
Below is a geometry-optimized Li3ZnSn structure, with properties calculated at the PBE level.

Results
Mass density: 2.4 g/cm³
M_tot: 0.00 μB per formula unit
Distance to the lowest polymorph of the same formula: 439 meV per atom

Lattice parameters (Å, degrees): 5.1860 5.1860 5.1860 90.00 90.00 90.00
Element x y z (fractional)
Zn (0.5000, 0.5000, 0.5000)
Sn (0.0000, 0.0000, 0.0000)
Li (0.0000, 0.5000, 0.0000)
Li (0.0000, 0.0000, 0.5000)
Li (0.5000, 0.0000, 0.0000)

=====

Entry 20:
Below is a geometry-optimized Li2ZnSn2 structure, with properties calculated at the PBE level.

Results
Mass density: 5.1 g/cm³
M_tot: 0.00 μB per formula unit
Raw total energy: -2.7668 eV per atom

Lattice parameters (Å, degrees): 5.5529 6.1253 7.3600 114.59 112.16 90.00
Element x y z (fractional)
Li (0.9113, 0.7518, 0.8227)
Li (0.0887, 0.2482, 0.1773)
Li (0.5887, 0.9291, 0.1773)
Li (0.4113, 0.0709, 0.8227)
Zn (0.7500, 0.5000, 0.0000)
Zn (0.2500, 0.5000, 0.0000)
Sn (0.3257, 0.5268, 0.6515)
Sn (0.6743, 0.4732, 0.3485)
Sn (0.1743, 0.8754, 0.3485)
Sn (0.8257, 0.1246, 0.6515)

=====

Entry 21:
Below is a geometry-optimized Li3Zn4Sn4 structure, with properties calculated at the PBE level.

Results
Mass density: 5.4 g/cm³
M_tot: 0.00 μB per formula unit
Raw total energy: -2.5108 eV per atom

Lattice parameters (Å, degrees): 4.9774 3.2726 14.4777 96.49 99.90 90.00
Element x y z (fractional)
Li (0.3682, 0.8682, 0.7364)
Li (0.6318, 0.1318, 0.2636)
Li (0.0000, 0.0000, 0.0000)
Zn (0.8168, 0.3168, 0.6337)
Zn (0.4566, 0.4566, 0.9131)
Zn (0.5434, 0.5434, 0.0869)
Zn (0.1832, 0.6832, 0.3663)
Sn (0.2729, 0.2729, 0.5459)
Sn (0.0888, 0.5888, 0.1775)
Sn (0.9112, 0.4112, 0.8225)
Sn (0.7271, 0.7271, 0.4541)

=====

Entry 22:
Below is a geometry-optimized LiZnSn6 structure, with properties calculated at the PBE level.

Results
Mass density: 6.0 g/cm³
M_tot: 0.00 μB per formula unit
Raw total energy: -3.3955 eV per atom

Lattice parameters (Å, degrees): 5.5064 5.5064 7.4594 92.23 92.23 106.47
Element x y z (fractional)
Li (0.0000, 0.0000, 0.0000)
Zn (0.5000, 0.5000, 0.5000)
Sn (0.1488, 0.1488, 0.6501)
Sn (0.5733, 0.1851, 0.1769)
Sn (0.8512, 0.8512, 0.3499)
Sn (0.8149, 0.4267, 0.8231)
Sn (0.4267, 0.8149, 0.8231)
Sn (0.1851, 0.5733, 0.1769)